1.
The following is a DFT calculation (PBE) of an optimized crystal structure of Y2Tm8Sn.

Cell lengths 5.599, 9.742, 9.742 Å; angles 39.91, 92.33, 92.33 degrees
Fractional coordinates of all 11 atoms:
Y1 0.742 0.279 0.279
Y2 0.258 0.721 0.721
Tm1 0.260 0.137 0.616
Tm2 0.260 0.616 0.137
Tm3 0.740 0.863 0.384
Tm4 0.229 0.551 0.551
Tm5 0.740 0.384 0.863
Tm6 0.230 0.171 0.171
Tm7 0.770 0.829 0.829
Tm8 0.771 0.449 0.449
Sn1 0.000 0.000 0.000

## Properties
Size of the total moment ... 0.000 μB/atom
ρ ... 8.0 g cm⁻³

***

2.
The following is a DFT calculation (PBE) of an optimized crystal structure of DyTmBr6.

Cell lengths 6.903, 6.902, 7.611 Å; angles 63.04, 82.23, 72.66 degrees
Fractional coordinates of all 8 atoms:
Dy1 0.000 0.000 0.000
Tm1 0.500 0.500 0.000
Br1 0.747 0.394 0.718
Br2 0.747 0.112 0.282
Br3 0.253 0.888 0.718
Br4 0.253 0.606 0.282
Br5 0.748 0.749 0.000
Br6 0.252 0.251 0.000

## Properties
Size of the total moment ... 0.000 μB/atom
Excess energy over the best structure of this formula in the dataset ... 0.000 eV per atom
ρ ... 4.4 g cm⁻³

***

3.
The following is a DFT calculation (PBE) of an optimized crystal structure of SbSCl2.

Cell lengths 4.926, 4.926, 4.926 Å; angles 60.00, 60.00, 60.00 degrees
Each line ends with the local moment (μB).
Fractional coordinates of all 4 atoms:
Sb1 0.500 0.500 0.500  -0.07
S1 0.000 0.000 0.000  0.58
Cl1 0.250 0.250 0.250  0.10
Cl2 0.750 0.750 0.750  0.10

## Properties
Size of the total moment ... 0.250 μB/atom
Excess energy over the best structure of this formula in the dataset ... 0.700 eV per atom
ρ ... 4.4 g cm⁻³

***

4.
The following is a DFT calculation (PBE) of an optimized crystal structure of Hf2CoH.

Cell lengths 3.439, 3.439, 6.093 Å; angles 73.61, 73.61, 60.00 degrees
Fractional coordinates of all 4 atoms:
Co1 0.500 0.500 0.500
Hf1 0.255 0.255 0.234
Hf2 0.745 0.745 0.766
H1 0.000 0.000 0.000

## Properties
Size of the total moment ... 0.000 μB/atom
Excess energy over the best structure of this formula in the dataset ... 0.288 eV per atom
ρ ... 11.7 g cm⁻³

***

Record order is preserved below.
E: -4.766 -4.222 -2.663 -7.684 eV/atom